(1)
The following is a DFT calculation (PBE) of Ho2GaPb after structural relaxation.

Values from the calculation:
Total energy (eV/cell): -17.82
DOS(E_F) (states/eV per cell): 2.234
Crystal system: tetragonal

extended XYZ file:
```
4
Lattice="3.4331 0.0000 0.0000 0.0000 3.4331 0.0000 0.0000 0.0000 8.5643" Properties=species:S:1:pos:R:3 pbc="T T T"
Pb 1.7166 1.7166 4.2821
Ho 0.0000 0.0000 6.6510
Ho 0.0000 0.0000 1.9132
Ga 1.7166 1.7166 0.0000
```

=====

(2)
The following is a DFT calculation (PBE) of Cr2CoTc after structural relaxation.

Values from the calculation:
Total energy (eV/cell): -35.71
DOS(E_F) (states/eV per cell): 6.598
Crystal system: trigonal

extended XYZ file:
```
4
Lattice="8.5855 0.0015 0.0009 8.1931 2.5661 0.0009 8.1931 1.2538 2.2389" Properties=species:S:1:pos:R:3 pbc="T T T"
Co 18.7287 2.8660 1.6805
Cr 0.1127 0.0172 0.0101
Cr 12.3732 1.8934 1.1102
Tc 6.2429 0.9553 0.5602
```

=====

(3)
The following is a DFT calculation (PBE) of TiFeNiP after structural relaxation.

Values from the calculation:
Total energy (eV/cell): -29.08
DOS(E_F) (states/eV per cell): 2.813
Crystal system: monoclinic

extended XYZ file:
```
4
Lattice="3.1149 0.0113 0.0053 1.5462 3.9986 -0.0053 1.5471 0.6099 4.1156" Properties=species:S:1:pos:R:3 pbc="T T T"
Ti 2.9487 4.2954 2.6012
Fe 1.4113 0.2785 0.4335
Ni 4.5124 2.5988 3.5036
P 1.4027 2.6096 1.0429
```

=====

(4)
The following is a DFT calculation (PBE) of Mn2HgRh after structural relaxation.

Values from the calculation:
Total energy (eV/cell): -25.71
DOS(E_F) (states/eV per cell): 1.696
Crystal system: tetragonal

extended XYZ file:
```
4
Lattice="-2.2960 1.8706 -0.9604 -2.0300 -1.6012 1.7345 1.1815 4.1065 5.1737" Properties=species:S:1:pos:R:3 pbc="T T T"
Hg -1.2769 3.2145 4.2674
Mn 0.0328 0.1141 0.1438
Mn 0.5579 1.9391 2.4431
Rh -1.8676 1.1613 1.6805
```

=====

(5)
The following is a DFT calculation (PBE) of NaTl3Se4 after structural relaxation.

Values from the calculation:
Formation energy from raw total energies (meV/atom): -394.7
Total energy (eV/cell): -51.03
DOS(E_F) (states/eV per cell): 3.780
Crystal system: monoclinic

extended XYZ file:
```
16
Lattice="7.2923 0.0437 0.0000 -2.5143 7.0199 0.0000 0.0000 0.0000 8.3939" Properties=species:S:1:pos:R:3 pbc="T T T"
Na 5.4692 0.0327 7.3506
Na 1.8231 0.0109 1.0433
Tl 5.4692 0.0327 3.1035
Tl 1.8231 0.0109 5.2904
Tl 4.2121 3.5427 5.2861
Tl 4.2121 3.5427 1.0222
Tl 0.5659 3.5209 3.1078
Tl 0.5659 3.5209 7.3717
Se -0.6553 1.8728 5.2554
Se 3.0566 1.8525 7.3597
Se 2.9908 1.8946 3.1385
Se -0.5896 1.8307 1.0342
Se 5.3675 5.2329 7.3597
Se 1.7872 5.1689 5.2554
Se 1.7214 5.2111 1.0342
Se 5.4333 5.1908 3.1385
```

=====

(6)
The following is a DFT calculation (PBE) of Pm2Pd5Au5 after structural relaxation.

Values from the calculation:
Total energy (eV/cell): -58.24
DOS(E_F) (states/eV per cell): 5.789
Crystal system: orthorhombic

extended XYZ file:
```
12
Lattice="-2.3597 -3.6301 -1.4056 2.2510 0.4674 -4.9860 7.1421 -5.6848 2.6915" Properties=species:S:1:pos:R:3 pbc="T T T"
Pm 1.1255 0.2337 -2.4930
Pm 3.5711 -2.8424 1.3458
Pd 3.5167 -4.4238 -1.8500
Pd 2.3042 -2.8960 -3.7601
Pd 4.7292 -5.9516 0.0601
Pd 1.1828 -3.1288 -1.2763
Pd 5.8505 -5.7187 -2.4237
Au 3.5034 -1.6590 -1.5968
Au 5.9132 -4.7067 2.2284
Au 1.2289 -0.9781 0.4631
Au 5.8897 -3.5584 -0.6976
Au -1.1799 -1.8151 -0.7028
```

=====

Number 4 is which compound?
Mn2HgRh